# 1
VASP calculation (PBE) on crystalline RbBaFe2 at its relaxed geometry.

Properties
Density of states at the Fermi level   2.42 states/eV/atom
SG   No. 225
Energy   -3.69 eV/atom
E_form   5.069 eV/f.u.

```
4
Lattice="0.0000 3.9857 3.9857 3.9857 0.0000 3.9857 3.9857 3.9857 0.0000" Properties=species:S:1:pos:R:3 pbc="T T T"
Rb 0.0000 0.0000 0.0000
Ba 3.9857 3.9857 3.9857
Fe 1.9929 1.9929 1.9929
Fe 5.9786 5.9786 5.9786
```

---

# 2
VASP calculation (PBE) on crystalline RbBa2TiFe at its relaxed geometry.

Properties
Density of states at the Fermi level   1.64 states/eV/atom
SG   No. 123
Energy   -3.61 eV/atom
E_form   3.133 eV/f.u.

```
5
Lattice="6.5792 0.0000 0.0000 0.0000 6.5792 0.0000 0.0000 0.0000 4.4838" Properties=species:S:1:pos:R:3 pbc="T T T"
Rb 0.0000 0.0000 0.0000
Ba 0.0000 3.2896 2.2419
Ba 3.2896 0.0000 2.2419
Ti 3.2896 3.2896 0.0000
Fe 3.2896 3.2896 2.2419
```

---

# 3
VASP calculation (PBE) on crystalline Rb2BaTlFe at its relaxed geometry.

Properties
Density of states at the Fermi level   1.68 states/eV/atom
SG   No. 123
Energy   -1.87 eV/atom
E_form   5.343 eV/f.u.

```
5
Lattice="7.2018 0.0000 0.0000 0.0000 7.2018 0.0000 0.0000 0.0000 4.8034" Properties=species:S:1:pos:R:3 pbc="T T T"
Rb 0.0000 3.6009 0.0000
Rb 3.6009 0.0000 0.0000
Ba 0.0000 0.0000 0.0000
Tl 3.6009 3.6009 2.4017
Fe 0.0000 0.0000 2.4017
```